Computed, not measured: a relaxed CoHgOs2 crystal at the PBE level of DFT.

* total magnetization: 0.54 μB/f.u.
* energy relative to the elements: 0.68 eV per atom
* Fermi-level density of states: 3.72 states/eV/f.u.

Cell and atoms, written as CIF:
```
data_CoHgOs2
_space_group_name_H-M_alt 'P m m m'
_space_group_IT_number 47
_cell_length_a 2.8730
_cell_length_b 2.9816
_cell_length_c 7.0536
_cell_angle_alpha 90.00
_cell_angle_beta 90.00
_cell_angle_gamma 90.00
loop_
_space_group_symop_operation_xyz
'x,y,z'
'-x,-y,-z'
'-x,-y,z'
'x,y,-z'
'x,-y,-z'
'-x,y,z'
'-x,y,-z'
'x,-y,z'
loop_
_atom_site_label
_atom_site_fract_x
_atom_site_fract_y
_atom_site_fract_z
_atom_site_occupancy
Co1 0.0000 0.0000 0.0000 1
Hg1 0.0000 0.0000 0.5000 1
Os1 0.5000 0.5000 0.1939 1
```

=====

Computed, not measured: a relaxed CoHgOs2 crystal at the PBE level of DFT.

* total magnetization: 0.60 μB/f.u.
* energy relative to the elements: 0.43 eV per atom
* Fermi-level density of states: 3.92 states/eV/f.u.

Cell and atoms, written as CIF:
```
data_CoHgOs2
_space_group_name_H-M_alt 'P 4 m m'
_space_group_IT_number 99
_cell_length_a 2.7880
_cell_length_b 2.7880
_cell_length_c 7.7087
_cell_angle_alpha 90.00
_cell_angle_beta 90.00
_cell_angle_gamma 90.00
loop_
_space_group_symop_operation_xyz
'x,y,z'
'-y,x,z'
'-x,-y,z'
'y,-x,z'
'-x,y,z'
'y,x,z'
'x,-y,z'
'-y,-x,z'
loop_
_atom_site_label
_atom_site_fract_x
_atom_site_fract_y
_atom_site_fract_z
_atom_site_occupancy
Co1 0.0000 0.0000 0.0000 1
Hg1 0.5000 0.5000 0.2607 1
Os1 0.0000 0.0000 0.5553 1
Os2 0.5000 0.5000 0.7817 1
```

=====

Question: What is the Fermi-level density of states in the second record?
Answer: 3.92 states/eV/f.u.

=====

Question: What is the formula in the second record?
Answer: CoHgOs2